No. 1
Be2NiPt2 at its PBEsol-relaxed geometry. Source: Alexandria via LeMat-Bulk, functional SCAN.

```
data_Be2NiPt2
_cell_length_a 6.4173
_cell_length_b 6.4173
_cell_length_c 2.7349
_cell_angle_alpha 90.00
_cell_angle_beta 90.00
_cell_angle_gamma 90.00
_symmetry_space_group_name_H-M 'P 4/m b m'
_symmetry_Int_Tables_number 127
_symmetry_space_group_name_Hall '-P 4 2ab'
loop_
_atom_site_label
_atom_site_fract_x
_atom_site_fract_y
_atom_site_fract_z
Be1 0.1311 0.3689 0.0000
Ni1 0.0000 0.0000 0.0000
Pt1 0.1662 0.6662 0.5000
```

## Properties
theoretical density: 13.8 g/cm³
E_tot: -33.700 eV/atom
DFT formation energy: -647 meV per atom

***

No. 2
HfNb2Si2 at its PBEsol-relaxed geometry. Source: Alexandria via LeMat-Bulk, functional SCAN.

```
data_HfNb2Si2
_cell_length_a 3.4520
_cell_length_b 3.4520
_cell_length_c 14.5822
_cell_angle_alpha 90.00
_cell_angle_beta 90.00
_cell_angle_gamma 90.00
_symmetry_space_group_name_H-M 'I 4/m m m'
_symmetry_Int_Tables_number 139
_symmetry_space_group_name_Hall '-I 4 2'
loop_
_atom_site_label
_atom_site_fract_x
_atom_site_fract_y
_atom_site_fract_z
Hf1 0.0000 0.0000 0.0000
Nb1 0.0000 0.0000 0.3889
Si1 0.0000 0.5000 0.2500
```

## Properties
theoretical density: 8.0 g/cm³
ΔE_f (raw): -23 meV/atom
offset from the most stable computed form: 744.1 meV per atom
E_tot: -29.816 eV/atom

***

No. 3
SrCa2Mg at its PBEsol-relaxed geometry. Source: Alexandria via LeMat-Bulk, functional SCAN.

```
data_SrCa2Mg
_cell_length_a 7.2647
_cell_length_b 12.2114
_cell_length_c 3.7381
_cell_angle_alpha 90.00
_cell_angle_beta 113.91
_cell_angle_gamma 90.00
_symmetry_space_group_name_H-M 'C 1 2/m 1'
_symmetry_Int_Tables_number 12
loop_
_symmetry_equiv_pos_as_xyz
'x,y,z'
'-x,-y,-z'
'-x,y,-z'
'x,-y,z'
'x+1/2,y+1/2,z'
'-x+1/2,-y+1/2,-z'
'-x+1/2,y+1/2,-z'
'x+1/2,-y+1/2,z'
loop_
_atom_site_label
_atom_site_fract_x
_atom_site_fract_y
_atom_site_fract_z
Sr1 0.0000 0.0000 0.0000
Ca1 0.2500 0.2500 0.5000
Mg1 0.0000 0.5000 0.0000
```

## Properties
theoretical density: 2.1 g/cm³
E_tot: -11.570 eV/atom
DFT formation energy: 74 meV per atom

***

No. 4
TaCoRe2Bi at its PBEsol-relaxed geometry. Source: Alexandria via LeMat-Bulk, functional SCAN.

```
data_TaCoRe2Bi
_cell_length_a 4.4506
_cell_length_b 4.4506
_cell_length_c 4.6112
_cell_angle_alpha 90.00
_cell_angle_beta 90.00
_cell_angle_gamma 90.00
_symmetry_space_group_name_H-M 'P 4/m m m'
_symmetry_Int_Tables_number 123
_symmetry_space_group_name_Hall '-P 4 2'
loop_
_atom_site_label
_atom_site_fract_x
_atom_site_fract_y
_atom_site_fract_z
Ta1 0.0000 0.0000 0.0000
Co1 0.5000 0.5000 0.5000
Re1 0.0000 0.5000 0.5000
Bi1 0.5000 0.5000 0.0000
```

## Properties
theoretical density: 14.9 g/cm³
E_tot: -59.194 eV/atom
DFT formation energy: 1738 meV per atom

***

No. 5
MnNiMo2 at its PBEsol-relaxed geometry. Source: Alexandria via LeMat-Bulk, functional SCAN.

```
data_MnNiMo2
_cell_length_a 2.5817
_cell_length_b 2.5817
_cell_length_c 7.8849
_cell_angle_alpha 90.00
_cell_angle_beta 90.00
_cell_angle_gamma 90.00
_symmetry_space_group_name_H-M 'P 4 m m'
_symmetry_Int_Tables_number 99
loop_
_symmetry_equiv_pos_as_xyz
'x,y,z'
'-y,x,z'
'-x,-y,z'
'y,-x,z'
'-x,y,z'
'y,x,z'
'x,-y,z'
'-y,-x,z'
loop_
_atom_site_label
_atom_site_fract_x
_atom_site_fract_y
_atom_site_fract_z
Mn1 0.0000 0.0000 0.0000
Ni1 0.5000 0.5000 0.7826
Mo1 0.0000 0.0000 0.5459
Mo2 0.5000 0.5000 0.2522
```

## Properties
theoretical density: 9.7 g/cm³
offset from the most stable computed form: 0.0 meV per atom
E_tot: -25.993 eV/atom
DFT formation energy: 56 meV per atom

***

No. 6
La4ZrTe at its PBEsol-relaxed geometry. Source: Alexandria via LeMat-Bulk, functional SCAN.

```
data_La4ZrTe
_cell_length_a 8.9299
_cell_length_b 8.9299
_cell_length_c 8.9299
_cell_angle_alpha 90.00
_cell_angle_beta 90.00
_cell_angle_gamma 90.00
_symmetry_space_group_name_H-M 'F -4 3 m'
_symmetry_Int_Tables_number 216
_symmetry_space_group_name_Hall 'F -4 2 3'
loop_
_atom_site_label
_atom_site_fract_x
_atom_site_fract_y
_atom_site_fract_z
La1 0.1239 0.1239 0.1239
Zr1 0.2500 0.2500 0.7500
Te1 0.0000 0.0000 0.5000
```

## Properties
theoretical density: 7.2 g/cm³
ΔE_f (raw): 168 meV/atom
E_tot: -39.893 eV/atom